Below is an optimized crystal structure of AlNiNF2, with properties calculated at the PBE+U level.

The structure belongs to space group P4/mmm (No. 123); the cell edges are 3.722, 3.722 and 4.237 Å and the angles 90.00°, 90.00° and 90.00°. The inequivalent atoms are Al at (0.000, 0.000, 0.000), Ni at (0.500, 0.500, 0.500), N at (0.500, 0.500, 0.000) and F at (0.000, 0.500, 0.500).

The relative energy among the computed polymorphs is 0.702 eV/atom. Its total DFT energy (no corrections) is -4.242 eV/atom. The density of states at the Fermi level is 0.8 states/eV/cell.